Compound: Al2RePt2
Source: the Alexandria database
Functional: PBE
Structure: optimized geometry

The structure in CIF format:
```
data_Al2RePt2
_cell_length_a 7.333
_cell_length_b 7.333
_cell_length_c 2.759
_cell_angle_alpha 90.00
_cell_angle_beta 90.00
_cell_angle_gamma 90.00
_space_group_name_H-M_alt 'P 4/m b m'
_space_group_IT_number 127
_space_group_name_Hall '-P 4 2ab'
loop_
_atom_site_label
_atom_site_type_symbol
_atom_site_fract_x
_atom_site_fract_y
_atom_site_fract_z
Al1 Al 0.146 0.354 0.000
Re1 Re 0.000 0.000 0.000
Pt1 Pt 0.154 0.654 0.500
```

M_tot = 0.0 μB/cell
Formation enthalpy at 0 K = -0.472 eV/atom
Electronic total energy = -6.875 eV/atom